[1]
Computed, not measured: a relaxed structure of Pr2DyHo6Tm3 at the PBE level of DFT.

Output
ρ	8.5	g/cm3
M_tot	0.00	μB/f.u.
electronic total energy	-4.564	eV/atom
crystal system	monoclinic

abc: 6.1458 6.1458 11.7484
angles: 94.99 94.99 119.96
Fractional coordinates of all 12 atoms:
Tm 0.8336 0.1664 0.5000
Tm 0.1664 0.8336 0.5000
Ho 0.7532 0.7532 0.2549
Ho 0.5820 0.9145 0.7453
Ho 0.0855 0.4180 0.2547
Ho 0.9145 0.5820 0.7453
Ho 0.4180 0.0855 0.2547
Pr 0.6666 0.3334 0.0000
Dy 0.0000 0.0000 0.0000
Tm 0.5000 0.5000 0.5000
Pr 0.3334 0.6666 0.0000
Ho 0.2468 0.2468 0.7451


[2]
Computed, not measured: a relaxed structure of InHI3 at the PBE level of DFT.

Output
ρ	3.5	g/cm3
M_tot	0.00	μB/f.u.
excess energy over the best structure of this formula in the dataset	0.0	meV per atom
crystal system	monoclinic

abc: 8.3198 8.3198 11.8601
angles: 65.83 65.83 39.50
Fractional coordinates of all 10 atoms:
I 0.3690 0.3690 0.8833
H 0.2478 0.2478 0.3235
In 0.9011 0.9011 0.9285
In 0.0989 0.0989 0.0715
I 0.8852 0.8852 0.1857
I 0.8603 0.8603 0.5651
I 0.6310 0.6310 0.1167
I 0.1397 0.1397 0.4349
H 0.7522 0.7522 0.6765
I 0.1148 0.1148 0.8143


[3]
Computed, not measured: a relaxed structure of Tm2GaRu5W2 at the PBE level of DFT.

Output
ρ	12.2	g/cm3
M_tot	0.00	μB/f.u.
electronic total energy	-8.507	eV/atom
crystal system	tetragonal

abc: 3.1602 10.5040 10.5040
angles: 90.00 90.00 90.00
Fractional coordinates of all 20 atoms:
Ru 0.5000 0.6921 0.4406
Ru 0.5000 0.1921 0.0594
Ru 0.5000 0.8079 0.9406
Ru 0.5000 0.3079 0.5594
W 0.0000 0.6396 0.8604
Tm 0.0000 0.8325 0.6675
Ga 0.0000 0.5000 0.5000
Ru 0.5000 0.4406 0.3079
Tm 0.0000 0.3325 0.8325
Tm 0.0000 0.6675 0.1675
Ru 0.5000 0.0594 0.8079
Tm 0.0000 0.1675 0.3325
Ru 0.5000 0.0000 0.5000
Ru 0.5000 0.9406 0.1921
W 0.0000 0.8604 0.3604
W 0.0000 0.3604 0.1396
Ga 0.0000 0.0000 0.0000
Ru 0.5000 0.5000 0.0000
W 0.0000 0.1396 0.6396
Ru 0.5000 0.5594 0.6921


[4]
Computed, not measured: a relaxed structure of KMg3In2 at the PBE level of DFT.

Output
ρ	3.3	g/cm3
M_tot	0.00	μB/f.u.
electronic total energy	-1.977	eV/atom
crystal system	monoclinic

abc: 4.4132 8.6440 10.1318
angles: 115.35 102.58 90.00
Fractional coordinates of all 12 atoms:
K 0.0972 0.0966 0.1944
Mg 0.6787 0.8693 0.3575
In 0.7517 0.2519 0.5034
Mg 0.9172 0.4171 0.8343
Mg 0.3213 0.1307 0.6425
In 0.4998 0.3049 0.9995
In 0.2483 0.7481 0.4966
Mg 0.0828 0.5829 0.1657
Mg 0.3216 0.5126 0.6432
In 0.5002 0.6951 0.0005
Mg 0.6784 0.4874 0.3568
K 0.9028 0.9034 0.8056


[5]
Computed, not measured: a relaxed structure of Tm3ScN at the PBE level of DFT.

Output
ρ	8.4	g/cm3
M_tot	0.01	μB/f.u.
crystal system	cubic
formation energy from raw total energies	-585	meV per atom

abc: 4.8154 4.8154 4.8154
angles: 90.00 90.00 90.00
Fractional coordinates of all 5 atoms:
Tm 0.0000 0.0000 0.5000
Tm 0.5000 0.0000 0.0000
N 0.0000 0.0000 0.0000
Sc 0.5000 0.5000 0.5000
Tm 0.0000 0.5000 0.0000


[6]
Computed, not measured: a relaxed structure of FeCu2ReMo at the PBE level of DFT.

Output
ρ	7.8	g/cm3
M_tot	2.64	μB/f.u.
electronic total energy	-6.057	eV/atom
crystal system	tetragonal

abc: 4.6271 4.6272 4.6271
angles: 90.00 90.00 90.00
Site moments in Bohr magnetons follow the coordinates.
Fractional coordinates of all 5 atoms:
Re 0.0000 0.5000 0.0000  -0.50
Mo 0.0000 0.0000 0.0000  -0.05
Fe 0.5000 0.5000 0.5000  3.30
Cu 0.5000 0.0000 0.0000  -0.02
Cu 0.0000 0.0000 0.5000  -0.03


[7]
Computed, not measured: a relaxed structure of KSc3W at the PBE level of DFT.

Output
ρ	5.6	g/cm3
M_tot	0.00	μB/f.u.
excess energy over the best structure of this formula in the dataset	1226.5	meV per atom
crystal system	cubic

abc: 4.7206 4.7206 4.7206
angles: 90.00 90.00 90.00
Fractional coordinates of all 5 atoms:
K 0.0000 0.0000 0.0000
Sc 0.5000 0.0000 0.0000
Sc 0.0000 0.0000 0.5000
W 0.5000 0.5000 0.5000
Sc 0.0000 0.5000 0.0000


[8]
Computed, not measured: a relaxed structure of TlIn2Rh at the PBE level of DFT.

Output
ρ	9.5	g/cm3
M_tot	0.00	μB/f.u.
excess energy over the best structure of this formula in the dataset	337.4	meV per atom
crystal system	tetragonal

abc: 4.3988 4.3988 10.1908
angles: 77.54 77.54 90.00
Fractional coordinates of all 8 atoms:
In 0.1579 0.6250 0.2500
Rh 0.5000 0.5000 0.0000
In 0.8750 0.8421 0.7500
In 0.5921 0.1250 0.2500
In 0.3750 0.4079 0.7500
Rh 0.2500 0.7500 0.5000
Tl 0.7500 0.2500 0.5000
Tl 0.0000 0.0000 0.0000


[9]
Computed, not measured: a relaxed structure of Pr3GdC at the PBE level of DFT.

Output
ρ	6.7	g/cm3
M_tot	8.69	μB/f.u.
electronic total energy	-7.409	eV/atom
crystal system	cubic

abc: 5.2855 5.2855 5.2855
angles: 90.00 90.00 90.00
Site moments in Bohr magnetons follow the coordinates.
Fractional coordinates of all 5 atoms:
C 0.0000 0.0000 0.0000  0.09
Pr 0.0000 0.5000 0.0000  0.12
Pr 0.5000 0.0000 0.0000  0.12
Pr 0.0000 0.0000 0.5000  0.12
Gd 0.5000 0.5000 0.5000  7.34


[10]
Computed, not measured: a relaxed structure of Ac2SnAu7 at the PBE level of DFT.

Output
ρ	13.4	g/cm3
M_tot	0.00	μB/f.u.
electronic total energy	-4.080	eV/atom
crystal system	tetragonal

abc: 4.3186 4.3186 12.9402
angles: 90.00 90.00 90.00
Fractional coordinates of all 10 atoms:
Au 0.0000 0.5000 0.8523
Au 0.0000 0.0000 0.0000
Au 0.5000 0.0000 0.3581
Au 0.0000 0.5000 0.6419
Ac 0.0000 0.5000 0.2616
Au 0.5000 0.5000 0.5000
Au 0.5000 0.0000 0.1477
Sn 0.5000 0.5000 0.0000
Au 0.0000 0.0000 0.5000
Ac 0.5000 0.0000 0.7384


[11]
Computed, not measured: a relaxed structure of LiY2Hg4Pb at the PBE level of DFT.

Output
ρ	10.3	g/cm3
M_tot	0.00	μB/f.u.
electronic total energy	-2.862	eV/atom
crystal system	trigonal

abc: 5.1599 5.1599 8.8942
angles: 73.14 73.14 60.00
Fractional coordinates of all 8 atoms:
Hg 0.3869 0.3869 0.8392
Hg 0.6131 0.6131 0.1608
Y 0.7453 0.7453 0.7642
Li 0.5000 0.5000 0.5000
Hg 0.8662 0.8662 0.4015
Pb 0.0000 0.0000 0.0000
Y 0.2547 0.2547 0.2358
Hg 0.1338 0.1338 0.5985